*a*
Computed, not measured: crystalline ZrAlSeN2 at its relaxed geometry at the GGA-PBE level of DFT.

abc: 3.812 3.812 4.910
angles: 90.00 90.00 90.00
Fractional coordinates of all 5 atoms:
Zr1 0.000 0.000 0.000
Al1 0.500 0.500 0.500
Se1 0.500 0.500 0.000
N1 0.000 0.500 0.500
N2 0.500 0.000 0.500

=====

*b*
Computed, not measured: crystalline ZrAlSeN2 at its relaxed geometry at the GGA-PBE level of DFT.

abc: 4.106 4.106 5.692
angles: 90.00 90.00 90.00
Fractional coordinates of all 5 atoms:
Zr1 0.000 0.000 0.000
Al1 0.500 0.500 0.500
Se1 0.000 0.000 0.500
N1 0.000 0.500 0.000
N2 0.500 0.000 0.000

=====

Most stable structure, least stable structure: *a*, *b*.

=====

*a*
Computed, not measured: crystalline ZrAlSe2N at its relaxed geometry at the GGA-PBE level of DFT.

abc: 5.359 5.359 4.040
angles: 90.00 90.00 90.00
Fractional coordinates of all 5 atoms:
Zr1 0.000 0.000 0.000
Al1 0.500 0.500 0.500
Se1 0.000 0.500 0.000
Se2 0.500 0.000 0.000
N1 0.000 0.000 0.500

=====

*b*
Computed, not measured: crystalline ZrAlSe2N at its relaxed geometry at the GGA-PBE level of DFT.

abc: 5.028 5.028 3.539
angles: 90.00 90.00 90.00
Fractional coordinates of all 5 atoms:
Zr1 0.000 0.000 0.000
Al1 0.500 0.500 0.500
Se1 0.000 0.500 0.500
Se2 0.500 0.000 0.500
N1 0.500 0.500 0.000

=====

Most stable structure, least stable structure: *b*, *a*.

=====

*a*
Computed, not measured: crystalline Al3SiN at its relaxed geometry at the GGA-PBE level of DFT.

abc: 4.677 4.677 4.677
angles: 90.00 90.00 90.00
Fractional coordinates of all 5 atoms:
Al1 0.000 0.000 0.500
Al2 0.000 0.500 0.000
Al3 0.500 0.000 0.000
Si1 0.000 0.000 0.000
N1 0.500 0.500 0.500

=====

*b*
Computed, not measured: crystalline Al3SiN at its relaxed geometry at the GGA-PBE level of DFT.

abc: 4.087 4.087 4.087
angles: 90.00 90.00 90.00
Fractional coordinates of all 5 atoms:
Al1 0.000 0.000 0.500
Al2 0.000 0.500 0.000
Al3 0.500 0.000 0.000
Si1 0.500 0.500 0.500
N1 0.000 0.000 0.000

=====

Most stable structure, least stable structure: *b*, *a*.

=====

*a*
Computed, not measured: crystalline AlSi3N at its relaxed geometry at the GGA-PBE level of DFT.

abc: 4.072 4.072 4.072
angles: 90.00 90.00 90.00
Fractional coordinates of all 5 atoms:
Al1 0.000 0.000 0.000
Si1 0.000 0.500 0.500
Si2 0.500 0.000 0.500
Si3 0.500 0.500 0.000
N1 0.500 0.500 0.500

=====

*b*
Computed, not measured: crystalline AlSi3N at its relaxed geometry at the GGA-PBE level of DFT.

abc: 4.661 4.661 4.661
angles: 90.00 90.00 90.00
Fractional coordinates of all 5 atoms:
Al1 0.000 0.000 0.000
Si1 0.000 0.000 0.500
Si2 0.000 0.500 0.000
Si3 0.500 0.000 0.000
N1 0.500 0.500 0.500

=====

Most stable structure, least stable structure: *a*, *b*.

=====

*a*
Computed, not measured: crystalline Al2SiN2 at its relaxed geometry at the GGA-PBE level of DFT.

abc: 5.368 5.368 3.871
angles: 90.00 90.00 90.00
Fractional coordinates of all 10 atoms:
Al1 0.168 0.332 0.000
Al2 0.332 0.832 0.000
Al3 0.668 0.168 0.000
Al4 0.832 0.668 0.000
Si1 0.000 0.000 0.500
Si2 0.500 0.500 0.500
N1 0.210 0.290 0.500
N2 0.290 0.790 0.500
N3 0.710 0.210 0.500
N4 0.790 0.710 0.500

=====

*b*
Computed, not measured: crystalline Al2SiN2 at its relaxed geometry at the GGA-PBE level of DFT.

abc: 5.728 5.728 5.728
angles: 141.51 141.51 55.57
Fractional coordinates of all 5 atoms:
Al1 0.250 0.750 0.500
Al2 0.750 0.250 0.500
Si1 0.000 0.000 0.000
N1 0.226 0.226 0.000
N2 0.774 0.774 0.000

=====

Most stable structure, least stable structure: *b*, *a*.

=====

*a*
Computed, not measured: crystalline Sm3AlN at its relaxed geometry at the GGA-PBE level of DFT.

abc: 5.465 5.465 5.465
angles: 90.00 90.00 90.00
Fractional coordinates of all 5 atoms:
Sm1 0.000 0.000 0.500
Sm2 0.000 0.500 0.000
Sm3 0.500 0.000 0.000
Al1 0.000 0.000 0.000
N1 0.500 0.500 0.500

=====

*b*
Computed, not measured: crystalline Sm3AlN at its relaxed geometry at the GGA-PBE level of DFT.

abc: 4.918 4.918 4.918
angles: 90.00 90.00 90.00
Fractional coordinates of all 5 atoms:
Sm1 0.000 0.000 0.500
Sm2 0.000 0.500 0.000
Sm3 0.500 0.000 0.000
Al1 0.500 0.500 0.500
N1 0.000 0.000 0.000

=====

Most stable structure, least stable structure: *b*, *a*.

=====

*a*
Computed, not measured: crystalline AlSnTe2N at its relaxed geometry at the GGA-PBE level of DFT.

abc: 5.854 5.854 3.494
angles: 90.00 90.00 90.00
Fractional coordinates of all 5 atoms:
Al1 0.000 0.000 0.000
Sn1 0.500 0.500 0.500
Te1 0.000 0.500 0.000
Te2 0.500 0.000 0.000
N1 0.000 0.000 0.500

=====

*b*
Computed, not measured: crystalline AlSnTe2N at its relaxed geometry at the GGA-PBE level of DFT.

abc: 5.942 5.942 3.885
angles: 90.00 90.00 90.00
Fractional coordinates of all 5 atoms:
Al1 0.000 0.000 0.000
Sn1 0.500 0.500 0.500
Te1 0.000 0.500 0.500
Te2 0.500 0.000 0.500
N1 0.500 0.500 0.000

=====

Most stable structure, least stable structure: *a*, *b*.

=====

*a*
Computed, not measured: crystalline TaAl2N2 at its relaxed geometry at the GGA-PBE level of DFT.

abc: 6.785 6.785 2.893
angles: 90.00 90.00 90.00
Fractional coordinates of all 10 atoms:
Ta1 0.000 0.000 0.000
Ta2 0.500 0.500 0.000
Al1 0.124 0.376 0.000
Al2 0.376 0.876 0.000
Al3 0.624 0.124 0.000
Al4 0.876 0.624 0.000
N1 0.248 0.252 0.500
N2 0.252 0.752 0.500
N3 0.748 0.248 0.500
N4 0.752 0.748 0.500

=====

*b*
Computed, not measured: crystalline TaAl2N2 at its relaxed geometry at the GGA-PBE level of DFT.

abc: 4.816 4.816 4.816
angles: 134.56 134.56 66.22
Fractional coordinates of all 5 atoms:
Ta1 0.000 0.000 0.000
Al1 0.342 0.342 0.000
Al2 0.658 0.658 0.000
N1 0.250 0.750 0.500
N2 0.750 0.250 0.500

=====

Most stable structure, least stable structure: *b*, *a*.